1.
{"formula": "CaSmRhSe", "functional": "PBE", "state": "optimized geometry", "raw_formation_energy_ev_per_atom": -0.896, "rho_g_cm3": 6.88, "lattice_angstrom": [[5.027, 0.000, 0.000], [2.514, 4.354, 0.000], [2.514, 1.451, 4.105]], "species": ["Rh", "Sm", "Ca", "Se"], "fractional_positions": [[0.000, 0.000, 0.000], [0.750, 0.750, 0.750], [0.250, 0.250, 0.250], [0.500, 0.500, 0.500]]}

2.
{"formula": "Nd8As3PtSe4", "functional": "PBE", "state": "optimized geometry", "raw_formation_energy_ev_per_atom": -1.645, "rho_g_cm3": 7.19, "lattice_angstrom": [[8.502, 0.000, 0.000], [0.000, 8.528, 0.012], [-4.251, -4.247, 6.015]], "species": ["Se", "Se", "As", "Pt", "As", "Nd", "Nd", "Nd", "Nd", "As", "Nd", "Nd", "Se", "Nd", "Nd", "Se"], "fractional_positions": [[0.500, 0.000, 0.000], [0.000, 0.000, 0.000], [0.500, 0.500, 0.000], [0.000, 0.500, 0.000], [0.500, 0.500, 0.500], [0.246, 0.740, 0.492], [0.754, 0.260, 0.508], [0.246, 0.740, 0.994], [0.749, 0.740, 0.994], [0.000, 0.500, 0.500], [0.754, 0.260, 0.006], [0.253, 0.260, 0.507], [0.000, 0.000, 0.500], [0.747, 0.740, 0.493], [0.251, 0.260, 0.006], [0.500, 0.000, 0.500]]}

3.
{"formula": "RbBaIrO6", "functional": "PBE", "state": "optimized geometry", "raw_formation_energy_ev_per_atom": -1.073, "rho_g_cm3": 4.99, "lattice_angstrom": [[-3.621, -5.063, -0.319], [2.170, -5.224, -2.609], [1.738, -1.524, 4.500]], "species": ["O", "Ba", "O", "O", "Rb", "O", "Ir", "O", "O"], "fractional_positions": [[0.313, 0.588, 0.287], [0.000, 0.000, 0.000], [0.588, 0.313, 0.714], [0.099, 0.588, 0.713], [0.667, 0.667, 0.500], [0.587, 0.099, 0.285], [0.334, 0.332, 0.500], [0.314, 0.099, 0.715], [0.098, 0.314, 0.286]]}

4.
{"formula": "USe2Br8", "functional": "PBE", "state": "optimized geometry", "raw_formation_energy_ev_per_atom": -0.544, "rho_g_cm3": 3.53, "lattice_angstrom": [[-8.055, 1.683, -0.978], [2.386, -2.592, -7.546], [0.463, -8.202, -1.367]], "species": ["Br", "Br", "Br", "Br", "Br", "Br", "U", "Br", "Se", "Se", "Br"], "fractional_positions": [[0.814, 0.277, 0.837], [0.186, 0.723, 0.163], [0.186, 0.163, 0.723], [0.691, 0.317, 0.317], [0.232, 0.193, 0.193], [0.309, 0.683, 0.683], [0.000, 0.000, 0.000], [0.768, 0.807, 0.807], [0.511, 0.162, 0.162], [0.489, 0.838, 0.838], [0.814, 0.837, 0.277]]}

5.
{"formula": "Pr3NdGa", "functional": "PBE", "state": "optimized geometry", "polymorph_energy_mev_per_atom": 0, "delta_e_f_kcal_per_mol_atoms": -4.5, "rho_g_cm3": 6.61, "lattice_angstrom": [[0.432, 3.710, 0.686], [-0.333, 1.631, -8.634], [-9.649, -1.283, 2.454]], "species": ["Pr", "Ga", "Ga", "Pr", "Nd", "Nd", "Pr", "Pr", "Pr", "Pr"], "fractional_positions": [[0.232, 0.732, 0.718], [0.020, 0.681, 0.298], [0.811, 0.543, 0.877], [0.412, 0.808, 0.087], [0.825, 0.072, 0.903], [0.006, 0.153, 0.272], [0.612, 0.933, 0.482], [0.418, 0.416, 0.089], [0.599, 0.493, 0.457], [0.218, 0.291, 0.694]]}

6.
{"formula": "Cs2ReBCl6", "functional": "PBE", "state": "optimized geometry", "raw_formation_energy_ev_per_atom": -0.653, "rho_g_cm3": 3.90, "lattice_angstrom": [[-2.989, 2.960, -5.665], [-6.259, -2.626, 1.930], [-5.688, 4.954, 1.195]], "species": ["Cl", "Cl", "Cl", "Cl", "B", "Cl", "Cs", "Cs", "Cl", "Re"], "fractional_positions": [[0.241, 0.759, 0.000], [0.209, 0.209, 0.583], [0.759, 0.241, 0.000], [0.241, 0.241, 0.000], [0.500, 0.500, 0.000], [0.759, 0.759, 0.000], [0.750, 0.250, 0.500], [0.250, 0.750, 0.500], [0.791, 0.791, 0.417], [0.000, 0.000, 0.000]]}

7.
{"formula": "TbTm2Co", "functional": "PBE", "state": "optimized geometry", "polymorph_energy_mev_per_atom": 25, "delta_e_f_kcal_per_mol_atoms": -3.7, "rho_g_cm3": 9.24, "lattice_angstrom": [[-1.973, -1.683, -2.533], [-0.173, -3.579, 5.107], [-7.530, 4.481, 2.886]], "species": ["Tb", "Tm", "Tm", "Tm", "Co", "Co", "Tm", "Tb"], "fractional_positions": [[0.918, 0.835, 0.250], [0.642, 0.284, 0.072], [0.358, 0.716, 0.572], [0.358, 0.716, 0.928], [0.249, 0.497, 0.250], [0.751, 0.503, 0.750], [0.642, 0.284, 0.428], [0.082, 0.165, 0.750]]}

8.
{"formula": "Sm3Tl2Zn", "functional": "PBE", "state": "optimized geometry", "polymorph_energy_mev_per_atom": 0, "delta_e_f_kcal_per_mol_atoms": -8.5, "rho_g_cm3": 9.39, "lattice_angstrom": [[-2.744, -0.479, 2.476], [-1.464, -2.677, -2.140], [6.492, -8.055, 5.635]], "species": ["Zn", "Sm", "Tl", "Sm", "Tl", "Sm"], "fractional_positions": [[0.500, 0.500, 0.500], [0.000, 0.000, 0.647], [0.500, 0.500, 0.823], [0.000, 0.000, 0.353], [0.500, 0.500, 0.177], [0.000, 0.000, 0.000]]}